(1)
{"formula": "Pr2Th2Ag", "functional": "GGA-PBE", "state": "relaxed", "dos_at_fermi_per_ev_atom": 1.62, "space_group": "I4/mmm, No. 139", "lattice_angstrom": [[-1.8260, 1.8260, 11.5287], [1.8260, -1.8260, 11.5287], [1.8260, 1.8260, -11.5287]], "species": ["Pr", "Pr", "Th", "Th", "Ag"], "frac_coords": [[0.0878, 0.0878, 0.0000], [0.9122, 0.9122, 0.0000], [0.3013, 0.3013, 0.0000], [0.6987, 0.6987, 0.0000], [0.5000, 0.5000, 0.0000]]}

=====

(2)
{"formula": "Pr2ThAg6", "functional": "GGA-PBE", "state": "relaxed", "dos_at_fermi_per_ev_atom": 1.01, "space_group": "P6/mmm, No. 191", "lattice_angstrom": [[8.4233, 0.0000, 0.0000], [-4.2116, 7.2948, 0.0000], [0.0000, 0.0000, 3.5054]], "species": ["Pr", "Pr", "Th", "Ag", "Ag", "Ag", "Ag", "Ag", "Ag"], "frac_coords": [[0.3333, 0.6667, 0.0000], [0.6667, 0.3333, 0.0000], [0.0000, 0.0000, 0.0000], [0.0000, 0.3329, 0.5000], [0.0000, 0.6671, 0.5000], [0.3329, 0.0000, 0.5000], [0.3329, 0.3329, 0.5000], [0.6671, 0.0000, 0.5000], [0.6671, 0.6671, 0.5000]]}

=====

(3)
{"formula": "Pr2ThAg", "functional": "GGA-PBE", "state": "relaxed", "de_polymorph_mev_per_atom": 155.6, "dos_at_fermi_per_ev_atom": 1.66, "space_group": "Cm, No. 8", "lattice_angstrom": [[3.1359, -1.8153, 0.0000], [3.1359, 1.8153, 0.0000], [-2.0825, 0.0000, 10.9560]], "species": ["Pr", "Pr", "Th", "Ag"], "frac_coords": [[0.0000, 0.0000, 0.0000], [0.1835, 0.1835, 0.5493], [0.4269, 0.4269, 0.2736], [0.5924, 0.5924, 0.7743]]}

=====

(4)
{"formula": "Pr2ThAg", "functional": "GGA-PBE", "state": "relaxed", "de_polymorph_mev_per_atom": 0.0, "dos_at_fermi_per_ev_atom": 1.16, "space_group": "P4/mmm, No. 123", "lattice_angstrom": [[3.7178, 0.0000, 0.0000], [0.0000, 3.7178, 0.0000], [0.0000, 0.0000, 8.7529]], "species": ["Pr", "Pr", "Th", "Ag"], "frac_coords": [[0.0000, 0.0000, 0.2252], [0.0000, 0.0000, 0.7748], [0.5000, 0.5000, 0.5000], [0.5000, 0.5000, 0.0000]]}

=====

(5)
{"formula": "Pr2ThAg", "functional": "GGA-PBE", "state": "relaxed", "de_polymorph_mev_per_atom": 312.8, "dos_at_fermi_per_ev_atom": 0.82, "space_group": "R-3m, No. 166", "lattice_angstrom": [[1.7292, 0.9984, 11.9969], [-1.7292, 0.9984, 11.9969], [0.0000, -1.9967, 11.9969]], "species": ["Pr", "Pr", "Th", "Ag"], "frac_coords": [[0.0961, 0.0961, 0.0961], [0.9039, 0.9039, 0.9039], [0.0000, 0.0000, 0.0000], [0.5000, 0.5000, 0.5000]]}

=====

(6)
{"formula": "Pr2ThTl2Ag2", "functional": "GGA-PBE", "state": "relaxed", "dos_at_fermi_per_ev_atom": 0.71, "space_group": "R-3m, No. 166", "lattice_angstrom": [[2.4694, 1.4257, 9.0041], [-2.4694, 1.4257, 9.0041], [0.0000, -2.8514, 9.0041]], "species": ["Pr", "Pr", "Th", "Tl", "Tl", "Ag", "Ag"], "frac_coords": [[0.1333, 0.1333, 0.1333], [0.8667, 0.8667, 0.8667], [0.0000, 0.0000, 0.0000], [0.2695, 0.2695, 0.2695], [0.7305, 0.7305, 0.7305], [0.4206, 0.4206, 0.4206], [0.5794, 0.5794, 0.5794]]}

=====

| no. | ΔH_f (0 K) (meV/atom) |
| --- | --- |
| 1 | -81 |
| 2 | -213 |
| 3 | 46 |
| 4 | -110 |
| 5 | 203 |
| 6 | -108 |